## MgTe3 (GGA-PBE)

Data for an optimized crystal structure of MgTe3.

Cell: 6.077 6.077 6.077 Å, 90.00 90.00 90.00°
Space group Pm-3n (No. 223)
Symmetry-distinct sites (fractional):
Mg: 0.000 0.000 0.000 (multiplicity 2)
Te: 0.000 0.250 0.500 (multiplicity 6)

=====

## Be3Br (GGA-PBE)

Data for an optimized crystal structure of Be3Br.

Cell: 6.3573 6.3573 6.7700 Å, 90.00 90.00 120.00°
Space group P6_3/mmc (No. 194)
Symmetry-distinct sites (fractional):
Be: 0.0000 0.5000 0.0000 (multiplicity 6)
Be: 0.2238 0.4476 0.2500 (multiplicity 6)
Br: 0.0000 0.0000 0.0000 (multiplicity 2)
Br: 0.3333 0.6667 0.7500 (multiplicity 2)

## Properties
E above lowest polymorph ... 0.541 eV per atom

=====

## MgFeTc (GGA-PBE)

Data for an optimized crystal structure of MgFeTc.

Cell: 5.720 5.720 5.720 Å, 90.00 90.00 90.00°
Space group F-43m (No. 216)
Symmetry-distinct sites (fractional):
Mg: 0.000 0.000 0.000 (multiplicity 4)
Fe: 0.250 0.250 0.250 (multiplicity 4)
Tc: 0.000 0.000 0.500 (multiplicity 4)

## Properties
E above lowest polymorph ... 0.342 eV per atom
Energy relative to the elements ... 484 meV per atom

=====

no.,total energy (eV per atom)
1,-2.655
2,-2.481
3,-6.324